<i>
A plane-wave DFT calculation with GGA-PBE was carried out for a relaxed Pr2EuRh crystal.

Results
The value obtained for the density of states at the Fermi level is 4.4 states/eV per cell.

```
4
Lattice="3.6400 0.0000 0.0000 0.0000 3.6400 0.0000 0.0000 0.0000 9.5059" Properties=species:S:1:pos:R:3 pbc="T T T"
Pr 0.0000 0.0000 7.8315
Pr 0.0000 0.0000 1.6743
Rh 1.8200 1.8200 0.0000
Eu 1.8200 1.8200 4.7529
```

<ii>
A plane-wave DFT calculation with GGA-PBE was carried out for a relaxed Pr2EuRh crystal.

Results
The value obtained for the density of states at the Fermi level is 3.7 states/eV per cell.

```
4
Lattice="4.1148 0.0000 0.0000 2.0574 3.5636 0.0000 2.0574 1.1879 9.5813" Properties=species:S:1:pos:R:3 pbc="T T T"
Eu 4.1148 2.3757 4.7907
Pr 2.0574 1.1879 1.5721
Pr 6.1723 3.5636 8.0092
Rh 0.0000 0.0000 0.0000
```

Quick one: most stable of them? <ii>

<i>
A plane-wave DFT calculation with GGA-PBE was carried out for a relaxed PrEuSb2 crystal.

Results
The value obtained for the density of states at the Fermi level is 6.2 states/eV per cell.

```
4
Lattice="3.4484 0.0000 0.0000 0.0000 5.8920 0.0000 0.0000 0.0000 5.8920" Properties=species:S:1:pos:R:3 pbc="T T T"
Sb 0.0000 2.9460 0.0000
Sb 0.0000 0.0000 2.9460
Pr 1.7242 2.9460 2.9460
Eu 1.7242 0.0000 0.0000
```

<ii>
A plane-wave DFT calculation with GGA-PBE was carried out for a relaxed PrEuSb2 crystal.

Results
The value obtained for the density of states at the Fermi level is 13.0 states/eV per cell.

```
4
Lattice="4.5587 0.0000 0.0000 2.2793 3.9479 0.0000 2.2793 1.3160 7.5200" Properties=species:S:1:pos:R:3 pbc="T T T"
Sb 6.8380 3.9479 5.6242
Sb 2.2794 1.3160 1.8958
Pr 4.5587 2.6320 3.7600
Eu 0.0000 0.0000 0.0000
```

Quick one: most stable of them? <ii>